Entry from Alexandria via LeMat-Bulk: a relaxed structure of ScCdW2 (PBE-GGA).

Magnetization, μB/f.u.: 0.00
E_form, meV per atom: 315
Mass density, g/cm3: 12.17

The structure in CIF format:
```
data_ScCdW2
_space_group_name_H-M_alt 'F -4 3 m'
_space_group_IT_number 216
_space_group_name_Hall 'F -4 2 3'
_cell_length_a 6.5934
_cell_length_b 6.5934
_cell_length_c 6.5934
_cell_angle_alpha 90.00
_cell_angle_beta 90.00
_cell_angle_gamma 90.00
loop_
_atom_site_label
_atom_site_type_symbol
_atom_site_fract_x
_atom_site_fract_y
_atom_site_fract_z
Sc1 Sc 0.0000 0.0000 0.0000
Cd1 Cd 0.2500 0.2500 0.7500
W1 W 0.0000 0.0000 0.5000
W2 W 0.2500 0.2500 0.2500
```